one.
Computed, not measured: a relaxed structure of RbCdOs at the PBE-GGA level of DFT.

- V: 38.622 Å³/atom

Cell lengths 5.472, 5.472, 5.472 Å; angles 60.00, 60.00, 60.00 degrees
Sites, in units of the cell vectors:
Cd (0.250, 0.250, 0.250)
Os (0.750, 0.750, 0.750)
Rb (0.000, 0.000, 0.000)

***

two.
Computed, not measured: a relaxed structure of RbCdOs at the PBE-GGA level of DFT.

- V: 28.095 Å³/atom

Cell lengths 4.921, 4.921, 4.921 Å; angles 60.00, 60.00, 60.00 degrees
Sites, in units of the cell vectors:
Cd (0.250, 0.250, 0.250)
Os (0.000, 0.000, 0.000)
Rb (0.750, 0.750, 0.750)

***

The calculated energies rank the structures as follows, beginning with the most stable: two, one.

***

one.
Computed, not measured: a relaxed structure of TaCdOs at the PBE-GGA level of DFT.

- V: 20.288 Å³/atom

Cell lengths 4.415, 4.415, 4.415 Å; angles 60.00, 60.00, 60.00 degrees
Sites, in units of the cell vectors:
Cd (0.250, 0.250, 0.250)
Os (0.000, 0.000, 0.000)
Ta (0.750, 0.750, 0.750)

***

two.
Computed, not measured: a relaxed structure of TaCdOs at the PBE-GGA level of DFT.

- V: 20.365 Å³/atom

Cell lengths 4.421, 4.421, 4.421 Å; angles 60.00, 60.00, 60.00 degrees
Sites, in units of the cell vectors:
Cd (0.250, 0.250, 0.250)
Os (0.750, 0.750, 0.750)
Ta (0.000, 0.000, 0.000)

***

The calculated energies rank the structures as follows, beginning with the most stable: one, two.

***

one.
Computed, not measured: a relaxed structure of CdOsW at the PBE-GGA level of DFT.

- V: 19.357 Å³/atom

Cell lengths 4.347, 4.347, 4.347 Å; angles 60.00, 60.00, 60.00 degrees
Sites, in units of the cell vectors:
Cd (0.250, 0.250, 0.250)
Os (0.000, 0.000, 0.000)
W (0.750, 0.750, 0.750)

***

two.
Computed, not measured: a relaxed structure of CdOsW at the PBE-GGA level of DFT.

- V: 19.426 Å³/atom

Cell lengths 4.352, 4.352, 4.352 Å; angles 60.00, 60.00, 60.00 degrees
Sites, in units of the cell vectors:
Cd (0.250, 0.250, 0.250)
Os (0.750, 0.750, 0.750)
W (0.000, 0.000, 0.000)

***

The calculated energies rank the structures as follows, beginning with the most stable: one, two.